Record 1
! LaGdAl, relaxed, DFT GGA-PBE; values from VASP
&SYSTEM
  ibrav = 0, nat = 6, ntyp = 3
/
ATOMIC_SPECIES
La 138.91 La.upf
Gd 157.25 Gd.upf
Al 26.98 Al.upf
CELL_PARAMETERS angstrom
3.770 0.000 0.000
0.000 3.770 0.000
0.000 0.000 12.273
ATOMIC_POSITIONS crystal
La 0.000 0.000 0.000
La 0.500 0.500 0.500
Gd 0.000 0.000 0.292
Gd 0.500 0.500 0.792
Al 0.000 0.000 0.656
Al 0.500 0.500 0.156
! - V: 87.2 Å³/f.u.
! - Crystal system: tetragonal
! - DFT formation energy: -0.223 eV/atom
! - D(E_F): 5.40 states/eV per cell

***

Record 2
! Cs2AlCuH6, relaxed, DFT GGA-PBE; values from VASP
&SYSTEM
  ibrav = 0, nat = 10, ntyp = 4
/
ATOMIC_SPECIES
Cs 132.91 Cs.upf
Al 26.98 Al.upf
Cu 63.55 Cu.upf
H 1.01 H.upf
CELL_PARAMETERS angstrom
6.071 0.000 0.000
-0.330 6.066 0.000
-2.864 -3.031 5.435
ATOMIC_POSITIONS crystal
Cs 0.000 0.000 0.000
Cs 0.496 0.504 0.000
Al 0.294 0.798 0.504
Cu 0.735 0.238 0.525
H 0.011 0.825 0.377
H 0.319 0.515 0.375
H 0.391 0.895 0.795
H 0.487 0.992 0.488
H 0.642 0.146 0.247
H 0.895 0.399 0.812
! - Final energy: -3.10 eV/atom
! - V: 200.1 Å³/f.u.
! - Crystal system: triclinic
! - D(E_F): 0.00 states/eV per cell

***

Record 3
! Pm7IrPt2, relaxed, DFT GGA-PBE; values from VASP
&SYSTEM
  ibrav = 0, nat = 10, ntyp = 3
/
ATOMIC_SPECIES
Pm 145.00 Pm.upf
Ir 192.22 Ir.upf
Pt 195.08 Pt.upf
CELL_PARAMETERS angstrom
0.000 5.426 5.426
5.426 0.000 5.426
5.426 5.426 0.000
ATOMIC_POSITIONS crystal
Pm 0.000 0.000 0.000
Pm 0.254 0.254 0.746
Pm 0.254 0.746 0.254
Pm 0.254 0.746 0.746
Pm 0.746 0.254 0.254
Pm 0.746 0.254 0.746
Pm 0.746 0.746 0.254
Ir 0.500 0.500 0.500
Pt 0.250 0.250 0.250
Pt 0.750 0.750 0.750
! - V: 319.5 Å³/f.u.
! - Crystal system: cubic
! - DFT formation energy: 0.301 eV/atom
! - D(E_F): 7.13 states/eV per cell

***

Record 4
! FeHPd3, relaxed, DFT GGA-PBE; values from VASP
&SYSTEM
  ibrav = 0, nat = 10, ntyp = 3
/
ATOMIC_SPECIES
Fe 55.84 Fe.upf
H 1.01 H.upf
Pd 106.42 Pd.upf
CELL_PARAMETERS angstrom
3.929 0.000 0.000
0.000 3.992 3.934
0.000 -3.992 3.934
ATOMIC_POSITIONS crystal
Fe 0.000 0.240 0.760
Fe 0.000 0.760 0.240
H 0.000 0.513 0.513
H 0.500 0.246 0.246
Pd 0.000 0.250 0.250
Pd 0.000 0.753 0.753
Pd 0.500 0.503 0.503
Pd 0.500 0.503 0.998
Pd 0.500 0.998 0.503
Pd 0.500 0.998 0.998
! - Final energy: -5.54 eV/atom
! - V: 61.7 Å³/f.u.
! - Crystal system: orthorhombic
! - D(E_F): 7.92 states/eV per cell

***

Record 5
! Ba2Os2Ru, relaxed, DFT GGA-PBE; values from VASP
&SYSTEM
  ibrav = 0, nat = 10, ntyp = 3
/
ATOMIC_SPECIES
Ba 137.33 Ba.upf
Os 190.23 Os.upf
Ru 101.07 Ru.upf
CELL_PARAMETERS angstrom
9.554 0.000 0.000
0.000 9.554 0.000
0.000 0.000 3.029
ATOMIC_POSITIONS crystal
Ba 0.200 0.300 0.000
Ba 0.300 0.800 0.000
Ba 0.700 0.200 0.000
Ba 0.800 0.700 0.000
Os 0.083 0.583 0.500
Os 0.417 0.083 0.500
Os 0.583 0.917 0.500
Os 0.917 0.417 0.500
Ru 0.000 0.000 0.000
Ru 0.500 0.500 0.000
! - V: 138.2 Å³/f.u.
! - Crystal system: tetragonal
! - DFT formation energy: 1.587 eV/atom
! - D(E_F): 13.16 states/eV per cell

***

Record 6
! Pr2YSn, relaxed, DFT GGA-PBE; values from VASP
&SYSTEM
  ibrav = 0, nat = 12, ntyp = 3
/
ATOMIC_SPECIES
Pr 140.91 Pr.upf
Y 88.91 Y.upf
Sn 118.71 Sn.upf
CELL_PARAMETERS angstrom
3.600 0.000 0.000
-1.800 3.118 0.000
0.000 0.000 36.978
ATOMIC_POSITIONS crystal
Pr 0.000 0.000 0.087
Pr 0.000 0.000 0.913
Pr 0.333 0.667 0.579
Pr 0.333 0.667 0.754
Pr 0.667 0.333 0.246
Pr 0.667 0.333 0.421
Y 0.000 0.000 0.500
Y 0.333 0.667 0.167
Y 0.667 0.333 0.833
Sn 0.000 0.000 0.000
Sn 0.333 0.667 0.667
Sn 0.667 0.333 0.333
! - V: 138.4 Å³/f.u.
! - Crystal system: trigonal
! - DFT formation energy: 0.057 eV/atom
! - D(E_F): 13.22 states/eV per cell

***

Record 7
! RhW2Cl, relaxed, DFT GGA-PBE; values from VASP
&SYSTEM
  ibrav = 0, nat = 4, ntyp = 3
/
ATOMIC_SPECIES
Rh 102.91 Rh.upf
W 183.84 W.upf
Cl 35.45 Cl.upf
CELL_PARAMETERS angstrom
2.944 0.000 0.000
0.000 4.538 0.000
0.000 0.000 4.751
ATOMIC_POSITIONS crystal
Rh 0.000 0.000 0.000
W 0.000 0.500 0.500
W 0.500 0.000 0.500
Cl 0.500 0.500 0.000
! - Final energy: -7.91 eV/atom
! - V: 63.5 Å³/f.u.
! - Crystal system: orthorhombic
! - D(E_F): 4.53 states/eV per cell

***

Record 8
! Pr2CoCuC, relaxed, DFT GGA-PBE; values from VASP
&SYSTEM
  ibrav = 0, nat = 5, ntyp = 4
/
ATOMIC_SPECIES
Pr 140.91 Pr.upf
Co 58.93 Co.upf
Cu 63.55 Cu.upf
C 12.01 C.upf
CELL_PARAMETERS angstrom
5.237 0.000 0.000
0.000 5.237 0.000
0.000 0.000 3.626
ATOMIC_POSITIONS crystal
Pr 0.000 0.500 0.000
Pr 0.500 0.000 0.000
Co 0.000 0.000 0.500
Cu 0.500 0.500 0.500
C 0.000 0.000 0.000
! - V: 99.5 Å³/f.u.
! - Crystal system: tetragonal
! - DFT formation energy: -0.167 eV/atom
! - D(E_F): 2.42 states/eV per cell

***

Record 9
! PmCuBi, relaxed, DFT GGA-PBE; values from VASP
&SYSTEM
  ibrav = 0, nat = 12, ntyp = 3
/
ATOMIC_SPECIES
Pm 145.00 Pm.upf
Cu 63.55 Cu.upf
Bi 208.98 Bi.upf
CELL_PARAMETERS angstrom
11.983 0.000 0.000
0.000 3.527 0.000
-2.309 0.000 7.418
ATOMIC_POSITIONS crystal
Pm 0.158 0.000 0.164
Pm 0.342 0.500 0.836
Pm 0.658 0.500 0.164
Pm 0.842 0.000 0.836
Cu 0.170 0.500 0.482
Cu 0.330 0.000 0.518
Cu 0.670 0.000 0.482
Cu 0.830 0.500 0.518
Bi 0.064 0.500 0.769
Bi 0.436 0.000 0.231
Bi 0.564 0.000 0.769
Bi 0.936 0.500 0.231
! - V: 78.4 Å³/f.u.
! - Crystal system: monoclinic
! - DFT formation energy: -0.290 eV/atom
! - D(E_F): 4.73 states/eV per cell

***

Record 10
! KSe2BrN, relaxed, DFT GGA-PBE; values from VASP
&SYSTEM
  ibrav = 0, nat = 5, ntyp = 4
/
ATOMIC_SPECIES
K 39.10 K.upf
Se 78.96 Se.upf
Br 79.90 Br.upf
N 14.01 N.upf
CELL_PARAMETERS angstrom
6.624 0.000 0.000
0.000 6.624 0.000
0.000 0.000 6.211
ATOMIC_POSITIONS crystal
K 0.000 0.000 0.000
Se 0.000 0.500 0.000
Se 0.500 0.000 0.000
Br 0.000 0.000 0.500
N 0.500 0.500 0.500
! - Final energy: -2.21 eV/atom
! - V: 272.5 Å³/f.u.
! - Crystal system: tetragonal
! - D(E_F): 5.31 states/eV per cell

***

Record 11
! Tm3AuO, relaxed, DFT GGA-PBE; values from VASP
&SYSTEM
  ibrav = 0, nat = 5, ntyp = 3
/
ATOMIC_SPECIES
Tm 168.93 Tm.upf
Au 196.97 Au.upf
O 16.00 O.upf
CELL_PARAMETERS angstrom
4.635 0.000 0.000
0.000 4.635 0.000
0.000 0.000 4.635
ATOMIC_POSITIONS crystal
Tm 0.000 0.000 0.500
Tm 0.000 0.500 0.000
Tm 0.500 0.000 0.000
Au 0.500 0.500 0.500
O 0.000 0.000 0.000
! - Final energy: -5.82 eV/atom
! - V: 99.6 Å³/f.u.
! - Crystal system: cubic
! - D(E_F): 4.00 states/eV per cell

***

Record 12
! AsPS2I, relaxed, DFT GGA-PBE; values from VASP
&SYSTEM
  ibrav = 0, nat = 5, ntyp = 4
/
ATOMIC_SPECIES
As 74.92 As.upf
P 30.97 P.upf
S 32.06 S.upf
I 126.90 I.upf
CELL_PARAMETERS angstrom
4.982 0.000 0.000
0.000 4.982 0.000
0.000 0.000 5.299
ATOMIC_POSITIONS crystal
As 0.000 0.000 0.000
P 0.500 0.500 0.000
S 0.000 0.500 0.500
S 0.500 0.000 0.500
I 0.500 0.500 0.500
! - Final energy: -2.57 eV/atom
! - V: 131.5 Å³/f.u.
! - Crystal system: tetragonal
! - D(E_F): 4.83 states/eV per cell

***

Record 13
! CsBaHg4, relaxed, DFT GGA-PBE; values from VASP
&SYSTEM
  ibrav = 0, nat = 6, ntyp = 3
/
ATOMIC_SPECIES
Cs 132.91 Cs.upf
Ba 137.33 Ba.upf
Hg 200.59 Hg.upf
CELL_PARAMETERS angstrom
4.483 0.000 0.000
0.000 5.383 0.000
0.000 0.000 9.292
ATOMIC_POSITIONS crystal
Cs 0.000 0.000 0.000
Ba 0.000 0.500 0.500
Hg 0.500 0.000 0.340
Hg 0.500 0.000 0.660
Hg 0.500 0.500 0.173
Hg 0.500 0.500 0.827
! - V: 224.3 Å³/f.u.
! - Crystal system: orthorhombic
! - DFT formation energy: -0.346 eV/atom
! - D(E_F): 4.20 states/eV per cell

***

Record 14
! AcAl3, relaxed, DFT GGA-PBE; values from VASP
&SYSTEM
  ibrav = 0, nat = 16, ntyp = 2
/
ATOMIC_SPECIES
Ac 227.00 Ac.upf
Al 26.98 Al.upf
CELL_PARAMETERS angstrom
4.698 0.000 0.000
0.000 11.275 0.000
0.000 0.000 7.170
ATOMIC_POSITIONS crystal
Ac 0.000 0.097 0.250
Ac 0.000 0.903 0.750
Ac 0.500 0.403 0.750
Ac 0.500 0.597 0.250
Al 0.000 0.193 0.750
Al 0.000 0.387 0.066
Al 0.000 0.387 0.434
Al 0.000 0.613 0.566
Al 0.000 0.613 0.934
Al 0.000 0.807 0.250
Al 0.500 0.113 0.566
Al 0.500 0.113 0.934
Al 0.500 0.307 0.250
Al 0.500 0.693 0.750
Al 0.500 0.887 0.066
Al 0.500 0.887 0.434
! - V: 94.9 Å³/f.u.
! - Crystal system: orthorhombic
! - DFT formation energy: -0.266 eV/atom
! - D(E_F): 6.50 states/eV per cell

***

Record 15
! Ba5Sr4Tl2, relaxed, DFT GGA-PBE; values from VASP
&SYSTEM
  ibrav = 0, nat = 22, ntyp = 3
/
ATOMIC_SPECIES
Ba 137.33 Ba.upf
Sr 87.62 Sr.upf
Tl 204.38 Tl.upf
CELL_PARAMETERS angstrom
10.641 0.000 0.000
0.000 24.228 0.000
0.000 0.000 4.471
ATOMIC_POSITIONS crystal
Ba 0.000 0.000 0.000
Ba 0.157 0.397 0.000
Ba 0.196 0.718 0.000
Ba 0.304 0.218 0.000
Ba 0.343 0.897 0.000
Ba 0.500 0.500 0.000
Ba 0.657 0.103 0.000
Ba 0.696 0.782 0.000
Ba 0.804 0.282 0.000
Ba 0.843 0.603 0.000
Sr 0.019 0.847 0.500
Sr 0.170 0.557 0.500
Sr 0.330 0.057 0.500
Sr 0.481 0.347 0.500
Sr 0.519 0.653 0.500
Sr 0.670 0.943 0.500
Sr 0.830 0.443 0.500
Sr 0.981 0.153 0.500
Tl 0.083 0.290 0.500
Tl 0.417 0.790 0.500
Tl 0.583 0.210 0.500
Tl 0.917 0.710 0.500
! - V: 576.2 Å³/f.u.
! - Crystal system: orthorhombic
! - DFT formation energy: -0.139 eV/atom
! - D(E_F): 27.69 states/eV per cell

***

Record 16
! LiNd3P2N6, relaxed, DFT GGA-PBE; values from VASP
&SYSTEM
  ibrav = 0, nat = 12, ntyp = 4
/
ATOMIC_SPECIES
Li 6.94 Li.upf
Nd 144.24 Nd.upf
P 30.97 P.upf
N 14.01 N.upf
CELL_PARAMETERS angstrom
5.641 0.000 0.000
-2.820 4.885 0.000
0.000 0.000 6.115
ATOMIC_POSITIONS crystal
Li 0.000 0.000 0.000
Nd 0.000 0.000 0.500
Nd 0.333 0.667 0.149
Nd 0.667 0.333 0.851
P 0.333 0.667 0.692
P 0.667 0.333 0.308
N 0.177 0.354 0.786
N 0.177 0.823 0.786
N 0.354 0.177 0.214
N 0.646 0.823 0.786
N 0.823 0.177 0.214
N 0.823 0.646 0.214
! - Final energy: -7.32 eV/atom
! - V: 168.5 Å³/f.u.
! - Crystal system: trigonal
! - D(E_F): 5.08 states/eV per cell

***

Record 17
! Mg3Zn2Cu4, relaxed, DFT GGA-PBE; values from VASP
&SYSTEM
  ibrav = 0, nat = 9, ntyp = 3
/
ATOMIC_SPECIES
Mg 24.30 Mg.upf
Zn 65.41 Zn.upf
Cu 63.55 Cu.upf
CELL_PARAMETERS angstrom
6.418 -1.642 0.000
6.418 1.642 0.000
-2.207 0.000 6.411
ATOMIC_POSITIONS crystal
Mg 0.000 0.000 0.000
Mg 0.112 0.112 0.661
Mg 0.888 0.888 0.339
Zn 0.322 0.322 0.963
Zn 0.678 0.678 0.037
Cu 0.215 0.215 0.349
Cu 0.439 0.439 0.671
Cu 0.561 0.561 0.329
Cu 0.785 0.785 0.651
! - V: 135.1 Å³/f.u.
! - Crystal system: monoclinic
! - DFT formation energy: -0.078 eV/atom
! - D(E_F): 2.57 states/eV per cell

***

Record 18
! Ce2FeSn, relaxed, DFT GGA-PBE; values from VASP
&SYSTEM
  ibrav = 0, nat = 4, ntyp = 3
/
ATOMIC_SPECIES
Ce 140.12 Ce.upf
Fe 55.84 Fe.upf
Sn 118.71 Sn.upf
CELL_PARAMETERS angstrom
3.198 0.000 0.000
0.000 3.198 0.000
0.000 0.000 8.654
ATOMIC_POSITIONS crystal
Ce 0.000 0.000 0.205
Ce 0.000 0.000 0.795
Fe 0.500 0.500 0.000
Sn 0.500 0.500 0.500
! - V: 88.5 Å³/f.u.
! - Crystal system: tetragonal
! - DFT formation energy: -0.252 eV/atom
! - D(E_F): 5.41 states/eV per cell

***

Record 19
! Si2PbNO, relaxed, DFT GGA-PBE; values from VASP
&SYSTEM
  ibrav = 0, nat = 5, ntyp = 4
/
ATOMIC_SPECIES
Si 28.09 Si.upf
Pb 207.20 Pb.upf
N 14.01 N.upf
O 16.00 O.upf
CELL_PARAMETERS angstrom
3.924 0.000 0.000
0.000 3.924 0.000
0.000 0.000 5.474
ATOMIC_POSITIONS crystal
Si 0.000 0.500 0.000
Si 0.500 0.000 0.000
Pb 0.000 0.000 0.500
N 0.500 0.500 0.500
O 0.500 0.500 0.000
! - Final energy: -4.77 eV/atom
! - V: 84.3 Å³/f.u.
! - Crystal system: tetragonal
! - D(E_F): 2.05 states/eV per cell

***

Record 20
! Pa2Si2Os3, relaxed, DFT GGA-PBE; values from VASP
&SYSTEM
  ibrav = 0, nat = 7, ntyp = 3
/
ATOMIC_SPECIES
Pa 231.04 Pa.upf
Si 28.09 Si.upf
Os 190.23 Os.upf
CELL_PARAMETERS angstrom
5.514 0.000 0.000
0.000 3.771 0.000
-1.751 0.000 7.204
ATOMIC_POSITIONS crystal
Pa 0.133 0.000 0.267
Pa 0.867 0.000 0.733
Si 0.367 0.500 0.742
Si 0.633 0.500 0.258
Os 0.000 0.500 0.500
Os 0.247 0.500 0.040
Os 0.753 0.500 0.960
! - Final energy: -9.21 eV/atom
! - V: 149.8 Å³/f.u.
! - Crystal system: monoclinic
! - D(E_F): 5.24 states/eV per cell

***

Record 21
! Ba4HoNb3O12, relaxed, DFT GGA-PBE; values from VASP
&SYSTEM
  ibrav = 0, nat = 20, ntyp = 4
/
ATOMIC_SPECIES
Ba 137.33 Ba.upf
Ho 164.93 Ho.upf
Nb 92.91 Nb.upf
O 16.00 O.upf
CELL_PARAMETERS angstrom
-4.212 4.212 4.212
4.212 -4.212 4.212
4.212 4.212 -4.212
ATOMIC_POSITIONS crystal
Ba 0.000 0.000 0.500
Ba 0.000 0.500 0.000
Ba 0.500 0.000 0.000
Ba 0.500 0.500 0.500
Ho 0.000 0.000 0.000
Nb 0.000 0.500 0.500
Nb 0.500 0.000 0.500
Nb 0.500 0.500 0.000
O 0.000 0.262 0.262
O 0.000 0.738 0.738
O 0.250 0.500 0.750
O 0.250 0.750 0.500
O 0.262 0.000 0.262
O 0.262 0.262 0.000
O 0.500 0.250 0.750
O 0.500 0.750 0.250
O 0.738 0.000 0.738
O 0.738 0.738 0.000
O 0.750 0.250 0.500
O 0.750 0.500 0.250
! - Final energy: -7.98 eV/atom
! - V: 298.9 Å³/f.u.
! - Crystal system: cubic
! - D(E_F): 6.92 states/eV per cell

***

Record 22
! RbLiSn2As, relaxed, DFT GGA-PBE; values from VASP
&SYSTEM
  ibrav = 0, nat = 5, ntyp = 4
/
ATOMIC_SPECIES
Rb 85.47 Rb.upf
Li 6.94 Li.upf
Sn 118.71 Sn.upf
As 74.92 As.upf
CELL_PARAMETERS angstrom
5.760 0.000 0.000
0.000 5.760 0.000
0.000 0.000 4.956
ATOMIC_POSITIONS crystal
Rb 0.000 0.000 0.000
Li 0.500 0.500 0.000
Sn 0.000 0.500 0.500
Sn 0.500 0.000 0.500
As 0.500 0.500 0.500
! - V: 164.4 Å³/f.u.
! - Crystal system: tetragonal
! - DFT formation energy: 0.029 eV/atom
! - D(E_F): 3.36 states/eV per cell

***

Record 23
! FeCoCuPd, relaxed, DFT GGA-PBE; values from VASP
&SYSTEM
  ibrav = 0, nat = 16, ntyp = 4
/
ATOMIC_SPECIES
Fe 55.84 Fe.upf
Co 58.93 Co.upf
Cu 63.55 Cu.upf
Pd 106.42 Pd.upf
CELL_PARAMETERS angstrom
5.884 0.000 0.000
0.000 5.884 0.000
0.000 0.000 5.884
ATOMIC_POSITIONS crystal
Fe 0.000 0.000 0.000
Fe 0.000 0.500 0.500
Fe 0.500 0.000 0.500
Fe 0.500 0.500 0.000
Co 0.250 0.250 0.750
Co 0.250 0.750 0.250
Co 0.750 0.250 0.250
Co 0.750 0.750 0.750
Cu 0.000 0.000 0.500
Cu 0.000 0.500 0.000
Cu 0.500 0.000 0.000
Cu 0.500 0.500 0.500
Pd 0.250 0.250 0.250
Pd 0.250 0.750 0.750
Pd 0.750 0.250 0.750
Pd 0.750 0.750 0.250
! - V: 50.9 Å³/f.u.
! - Crystal system: cubic
! - DFT formation energy: 0.054 eV/atom
! - D(E_F): 13.77 states/eV per cell

***

Record 24
! NdSi2IrRh, relaxed, DFT GGA-PBE; values from VASP
&SYSTEM
  ibrav = 0, nat = 10, ntyp = 4
/
ATOMIC_SPECIES
Nd 144.24 Nd.upf
Si 28.09 Si.upf
Ir 192.22 Ir.upf
Rh 102.91 Rh.upf
CELL_PARAMETERS angstrom
4.112 0.000 0.000
0.000 4.112 0.000
0.000 0.000 10.197
ATOMIC_POSITIONS crystal
Nd 0.000 0.000 0.000
Nd 0.500 0.500 0.500
Si 0.000 0.000 0.375
Si 0.000 0.000 0.625
Si 0.500 0.500 0.125
Si 0.500 0.500 0.875
Ir 0.000 0.500 0.750
Ir 0.500 0.000 0.250
Rh 0.000 0.500 0.250
Rh 0.500 0.000 0.750
! - Final energy: -7.44 eV/atom
! - V: 86.2 Å³/f.u.
! - Crystal system: tetragonal
! - D(E_F): 4.05 states/eV per cell

***

Record 25
! CoAs2W, relaxed, DFT GGA-PBE; values from VASP
&SYSTEM
  ibrav = 0, nat = 16, ntyp = 3
/
ATOMIC_SPECIES
Co 58.93 Co.upf
As 74.92 As.upf
W 183.84 W.upf
CELL_PARAMETERS angstrom
6.143 0.000 0.000
0.000 6.143 0.000
0.000 0.000 6.143
ATOMIC_POSITIONS crystal
Co 0.000 0.000 0.000
Co 0.000 0.500 0.500
Co 0.500 0.000 0.500
Co 0.500 0.500 0.000
As 0.250 0.250 0.250
As 0.250 0.250 0.750
As 0.250 0.750 0.250
As 0.250 0.750 0.750
As 0.750 0.250 0.250
As 0.750 0.250 0.750
As 0.750 0.750 0.250
As 0.750 0.750 0.750
W 0.000 0.000 0.500
W 0.000 0.500 0.000
W 0.500 0.000 0.000
W 0.500 0.500 0.500
! - V: 58.0 Å³/f.u.
! - Crystal system: cubic
! - DFT formation energy: 0.243 eV/atom
! - D(E_F): 7.64 states/eV per cell